Density functional theory data (PBE+U) for a relaxed structure of CrTcF6.

Unit cell a=5.595 b=5.595 c=9.477 alpha=104.66 beta=104.66 gamma=61.90
Atoms (fractional coordinates):
Cr 0.250 0.750 0.750
Cr 0.750 0.250 0.250
Tc 0.000 0.500 0.000
Tc 0.500 0.000 0.500
F 0.144 0.170 0.854
F 0.170 0.144 0.354
F 0.175 0.675 0.929
F 0.325 0.825 0.571
F 0.334 0.349 0.143
F 0.349 0.334 0.643
F 0.651 0.666 0.357
F 0.666 0.651 0.857
F 0.675 0.175 0.429
F 0.825 0.325 0.071
F 0.830 0.856 0.646
F 0.856 0.830 0.146

Computed properties:
Total DFT energy (no corrections)   -5.933 eV/atom
Crystal system   monoclinic